Record 1
Below is a geometry-optimized RbBePbAu structure, with properties calculated at the PBE level.

a b c (Å): 7.4647 7.4647 7.4647
angles (deg): 90.00 90.00 90.00
Closest atoms and distances in Å follow each position.
Element x y z (fractional)
1 Rb 0.0000 0.0000 0.0000  4 Be 3.23, 4 Au 3.23
2 Rb 0.0000 0.5000 0.5000  4 Be 3.23, 4 Au 3.23
3 Rb 0.5000 0.0000 0.5000  4 Be 3.23, 4 Au 3.23
4 Rb 0.5000 0.5000 0.0000  4 Be 3.23, 4 Au 3.23
5 Be 0.2500 0.2500 0.2500  4 Pb 3.23, 4 Rb 3.23
6 Be 0.2500 0.7500 0.7500  4 Pb 3.23, 4 Rb 3.23
7 Be 0.7500 0.2500 0.7500  4 Pb 3.23, 4 Rb 3.23
8 Be 0.7500 0.7500 0.2500  4 Pb 3.23, 4 Rb 3.23
9 Pb 0.0000 0.0000 0.5000  4 Au 3.23, 4 Be 3.23
10 Pb 0.0000 0.5000 0.0000  4 Au 3.23, 4 Be 3.23
11 Pb 0.5000 0.0000 0.0000  4 Au 3.23, 4 Be 3.23
12 Pb 0.5000 0.5000 0.5000  4 Be 3.23, 4 Au 3.23
13 Au 0.2500 0.2500 0.7500  4 Pb 3.23, 4 Rb 3.23
14 Au 0.2500 0.7500 0.2500  4 Pb 3.23, 4 Rb 3.23
15 Au 0.7500 0.2500 0.2500  4 Pb 3.23, 4 Rb 3.23
16 Au 0.7500 0.7500 0.7500  4 Pb 3.23, 4 Rb 3.23

Calculated values
Space-group type: F-43m (216)
Mass density, g cm⁻³: 8.0
VASP energy, eV per cell: -38.09

***

Record 2
Below is a geometry-optimized LiSiTe2AuSe structure, with properties calculated at the PBE level.

a b c (Å): 7.4486 7.4486 10.5722
angles (deg): 90.00 90.00 151.04
Closest atoms and distances in Å follow each position.
Element x y z (fractional)
1 Li 0.1893 0.8107 0.7500  2 Te 2.81, 2 Se 2.85, 2 Au 2.92
2 Li 0.8107 0.1893 0.2500  2 Te 2.81, 2 Se 2.85, 2 Au 2.92
3 Si 0.5000 0.5000 0.0000  2 Se 2.71, 4 Te 2.72
4 Si 0.5000 0.5000 0.5000  2 Se 2.71, 4 Te 2.72
5 Te 0.1369 0.8631 0.0064  1 Au 2.59, 2 Si 2.72, 1 Li 2.81
6 Te 0.1369 0.8631 0.4936  1 Au 2.59, 2 Si 2.72, 1 Li 2.81
7 Te 0.8631 0.1369 0.5064  1 Au 2.59, 2 Si 2.72, 1 Li 2.81
8 Te 0.8631 0.1369 0.9936  1 Au 2.59, 2 Si 2.72, 1 Li 2.81
9 Au 0.1551 0.8449 0.2500  2 Te 2.59
10 Au 0.8449 0.1551 0.7500  2 Te 2.59
11 Se 0.4600 0.5400 0.2500  2 Si 2.71, 2 Li 2.85
12 Se 0.5400 0.4600 0.7500  2 Si 2.71, 2 Li 2.85

Calculated values
Space-group type: Cmcm (63)
Mass density, g cm⁻³: 6.6
VASP energy, eV per cell: -43.05

***

Record 3
Below is a geometry-optimized NaTeWAuSe2 structure, with properties calculated at the PBE level.

a b c (Å): 7.6458 7.6458 10.4050
angles (deg): 90.00 90.00 152.84
Closest atoms and distances in Å follow each position.
Element x y z (fractional)
1 Na 0.2287 0.7713 0.7500  2 Au 3.05, 2 Te 3.25, 4 Se 3.31
2 Na 0.7713 0.2287 0.2500  2 Au 3.05, 2 Te 3.25, 4 Se 3.31
3 Te 0.0887 0.9113 0.2500  2 Au 2.88, 2 W 2.92
4 Te 0.9113 0.0887 0.7500  2 Au 2.88, 2 W 2.92
5 W 0.0000 0.0000 0.0000  4 Se 2.61, 2 Te 2.92
6 W 0.0000 0.0000 0.5000  4 Se 2.61, 2 Te 2.92
7 Au 0.4371 0.5629 0.2500  2 Se 2.51
8 Au 0.5629 0.4371 0.7500  2 Se 2.51
9 Se 0.3735 0.6265 0.0267  1 Au 2.51, 2 W 2.61
10 Se 0.3735 0.6265 0.4733  1 Au 2.51, 2 W 2.61
11 Se 0.6265 0.3735 0.5267  1 Au 2.51, 2 W 2.61
12 Se 0.6265 0.3735 0.9733  1 Au 2.51, 2 W 2.61

Calculated values
Space-group type: Cmcm (63)
Mass density, g cm⁻³: 8.2
VASP energy, eV per cell: -56.95

***

Record 4
Below is a geometry-optimized InAs5Pt3 structure, with properties calculated at the PBE level.

a b c (Å): 5.7162 5.7162 6.9848
angles (deg): 90.00 90.00 120.00
Closest atoms and distances in Å follow each position.
Element x y z (fractional)
1 In 0.0000 0.0000 0.0000  14 As 3.49-3.64
2 As 0.0000 0.0000 0.5000  6 Pt 2.86
3 As 0.3333 0.6667 0.2207  3 Pt 2.56
4 As 0.3333 0.6667 0.7793  3 Pt 2.56
5 As 0.6667 0.3333 0.2207  3 Pt 2.56
6 As 0.6667 0.3333 0.7793  3 Pt 2.56
7 Pt 0.0000 0.5000 0.5000  6 As 2.56-2.86, 4 Pt 2.86
8 Pt 0.5000 0.0000 0.5000  6 As 2.56-2.86, 4 Pt 2.86
9 Pt 0.5000 0.5000 0.5000  6 As 2.56-2.86, 4 Pt 2.86

Calculated values
Space-group type: P6/mmm (191)
Mass density, g cm⁻³: 9.0
VASP energy, eV per cell: -43.63